First-principles (GGA+U) data for a relaxed SrCo3Os4O12 crystal, as listed in OQMD via LeMat-Bulk.

Computed properties:
SG: Im-3, No. 204
Spin magnetization, μB/atom: 0.06
E_tot, hartree per atom: -0.26163

abc: 6.5379 6.5379 6.5379
angles: 109.47 109.47 109.47
Last column: nearest neighbours and their distance in Å.
Fractional coordinates of all 20 atoms:
1 Sr 0.0000 0.0000 0.0000  12 O 2.71
2 Co 0.0000 0.5000 0.5000  4 O 1.97
3 Co 0.5000 0.0000 0.5000  4 O 1.97
4 Co 0.5000 0.5000 0.0000  4 O 1.97
5 Os 0.0000 0.0000 0.5000  6 O 2.01
6 Os 0.0000 0.5000 0.0000  6 O 2.01
7 Os 0.5000 0.0000 0.0000  6 O 2.01
8 Os 0.5000 0.5000 0.5000  6 O 2.01
9 O 0.1307 0.8197 0.3109  1 Co 1.97, 2 Os 2.01
10 O 0.1803 0.3109 0.4912  1 Co 1.97, 2 Os 2.01
11 O 0.1803 0.6891 0.8693  1 Co 1.97, 2 Os 2.01
12 O 0.3109 0.1307 0.8197  1 Co 1.97, 2 Os 2.01
13 O 0.3109 0.4912 0.1803  1 Co 1.97, 2 Os 2.01
14 O 0.4912 0.1803 0.3109  1 Co 1.97, 2 Os 2.01
15 O 0.5088 0.8197 0.6891  1 Co 1.97, 2 Os 2.01
16 O 0.6891 0.5088 0.8197  1 Co 1.97, 2 Os 2.01
17 O 0.6891 0.8693 0.1803  1 Co 1.97, 2 Os 2.01
18 O 0.8197 0.3109 0.1307  1 Co 1.97, 2 Os 2.01
19 O 0.8197 0.6891 0.5088  1 Co 1.97, 2 Os 2.01
20 O 0.8693 0.1803 0.6891  1 Co 1.97, 2 Os 2.01